1.
The following is a DFT calculation (PBE) of a geometry-optimized CeSi2Bi2Pt7 structure.

Its space group is C2/m, No. 12. The spin magnetization comes out at 0.2 μB/f.u. The energy relative to the elements, uncorrected comes out at -0.63 eV per atom.

POSCAR file:
```
CeSi2Bi2Pt7
1.0
2.846 -2.846 0.000
2.846 2.846 0.000
-2.829 0.000 15.197
Ce Si Bi Pt
1 2 2 7
direct
0.000 0.000 0.000
0.383 0.383 0.763
0.617 0.617 0.237
0.209 0.209 0.420
0.791 0.791 0.580
0.072 0.572 0.147
0.306 0.306 0.610
0.428 0.928 0.853
0.500 0.500 0.000
0.572 0.072 0.147
0.694 0.694 0.390
0.928 0.428 0.853
```

***

2.
The following is a DFT calculation (PBE) of a geometry-optimized CePuBi2 structure.

The value obtained for the formation energy is -0.542 eV/atom. Its space group is Cmcm, No. 63. For the energy relative to the lowest polymorph listed for this composition, the calculation gives 26 meV per atom. The spin magnetization comes out at 4.7 μB/f.u.

POSCAR file:
```
CePuBi2
1.0
2.231 -12.482 0.000
2.231 12.482 0.000
0.000 0.000 4.718
Ce Pu Bi
2 2 4
direct
0.186 0.814 0.750
0.814 0.186 0.250
0.447 0.553 0.750
0.553 0.447 0.250
0.057 0.943 0.750
0.316 0.684 0.750
0.684 0.316 0.250
0.943 0.057 0.250
```

***

3.
The following is a DFT calculation (PBE) of a geometry-optimized CePu2Bi2 structure.

The value obtained for the formation energy is -0.182 eV/atom. Its space group is C2/c, No. 15. For the energy relative to the lowest polymorph listed for this composition, the calculation gives 80 meV per atom. The spin magnetization comes out at 12.1 μB/f.u.

POSCAR file:
```
CePu2Bi2
1.0
3.542 -8.084 0.000
3.542 8.084 0.000
-3.509 0.000 5.545
Ce Pu Bi
2 4 4
direct
0.155 0.845 0.750
0.845 0.155 0.250
0.223 0.283 0.236
0.283 0.223 0.736
0.717 0.777 0.264
0.777 0.717 0.764
0.148 0.852 0.250
0.358 0.642 0.750
0.642 0.358 0.250
0.852 0.148 0.750
```

***

4.
The following is a DFT calculation (PBE) of a geometry-optimized Ce6PuBi5 structure.

The value obtained for the formation energy is -0.583 eV/atom. Its space group is C2/m, No. 12. The spin magnetization comes out at 0.0 μB/f.u.

POSCAR file:
```
Ce6PuBi5
1.0
3.956 -6.322 0.000
3.956 6.322 0.000
-2.265 0.000 7.255
Ce Pu Bi
6 1 5
direct
0.057 0.332 0.695
0.183 0.183 0.283
0.332 0.057 0.695
0.668 0.943 0.305
0.817 0.817 0.717
0.943 0.668 0.305
0.000 0.000 0.500
0.213 0.787 0.000
0.346 0.654 0.500
0.500 0.500 0.000
0.654 0.346 0.500
0.787 0.213 0.000
```

***

5.
The following is a DFT calculation (PBE) of a geometry-optimized Ce2PuBi9 structure.

The value obtained for the formation energy is -0.381 eV/atom. Its space group is P4/mmm, No. 123. The spin magnetization comes out at 5.9 μB/f.u.

POSCAR file:
```
Ce2PuBi9
1.0
4.928 0.000 0.000
0.000 4.928 0.000
0.000 0.000 14.967
Ce Pu Bi
2 1 9
direct
0.000 0.000 0.165
0.000 0.000 0.835
0.000 0.000 0.500
0.000 0.500 0.000
0.000 0.500 0.334
0.000 0.500 0.666
0.500 0.000 0.000
0.500 0.000 0.334
0.500 0.000 0.666
0.500 0.500 0.168
0.500 0.500 0.500
0.500 0.500 0.832
```

***

6.
The following is a DFT calculation (PBE) of a geometry-optimized CePuBi2 structure.

The value obtained for the formation energy is -0.473 eV/atom. Its space group is Fm-3m, No. 225. For the energy relative to the lowest polymorph listed for this composition, the calculation gives 95 meV per atom. The spin magnetization comes out at 6.5 μB/f.u.

POSCAR file:
```
CePuBi2
1.0
0.000 3.914 3.914
3.914 0.000 3.914
3.914 3.914 0.000
Ce Pu Bi
1 1 2
direct
0.000 0.000 0.000
0.500 0.500 0.500
0.250 0.250 0.250
0.750 0.750 0.750
```

***

7.
The following is a DFT calculation (PBE) of a geometry-optimized Ce6PuBi2 structure.

The value obtained for the formation energy is -0.430 eV/atom. Its space group is P2_1/c, No. 14. The spin magnetization comes out at 0.0 μB/f.u.

POSCAR file:
```
Ce6PuBi2
1.0
6.637 0.000 0.000
0.000 9.370 0.000
-4.712 0.000 8.498
Ce Pu Bi
12 2 4
direct
0.145 0.112 0.476
0.145 0.388 0.976
0.317 0.736 0.936
0.317 0.764 0.436
0.352 0.039 0.218
0.352 0.461 0.718
0.648 0.539 0.282
0.648 0.961 0.782
0.683 0.236 0.564
0.683 0.264 0.064
0.855 0.612 0.024
0.855 0.888 0.524
0.500 0.000 0.500
0.500 0.500 0.000
0.192 0.083 0.833
0.192 0.417 0.333
0.808 0.583 0.667
0.808 0.917 0.167
```

***

8.
The following is a DFT calculation (PBE) of a geometry-optimized CePuBi6 structure.

The value obtained for the formation energy is -0.274 eV/atom. Its space group is Cm, No. 8. The spin magnetization comes out at 5.8 μB/f.u.

POSCAR file:
```
CePuBi6
1.0
12.278 -2.315 0.000
12.278 2.315 0.000
-0.868 0.000 4.548
Ce Pu Bi
1 1 6
direct
0.000 0.000 0.000
0.350 0.350 0.346
0.108 0.108 0.607
0.244 0.244 0.739
0.483 0.483 0.483
0.608 0.608 0.108
0.744 0.744 0.238
0.865 0.865 0.861
```

***

9.
The following is a DFT calculation (PBE) of a geometry-optimized CePuBi2 structure.

The value obtained for the formation energy is -0.568 eV/atom. Its space group is R-3m, No. 166. For the energy relative to the lowest polymorph listed for this composition, the calculation gives 0 meV per atom. The spin magnetization comes out at 6.0 μB/f.u.

POSCAR file:
```
CePuBi2
1.0
2.291 1.323 7.412
-2.291 1.323 7.412
0.000 -2.645 7.412
Ce Pu Bi
1 1 2
direct
0.000 0.000 0.000
0.500 0.500 0.500
0.249 0.249 0.249
0.751 0.751 0.751
```

***

10.
The following is a DFT calculation (PBE) of a geometry-optimized CePuBi2 structure.

The value obtained for the formation energy is -0.468 eV/atom. Its space group is R3m, No. 160. For the energy relative to the lowest polymorph listed for this composition, the calculation gives 100 meV per atom. The spin magnetization comes out at 6.0 μB/f.u.

POSCAR file:
```
CePuBi2
1.0
2.254 1.301 7.817
-2.254 1.301 7.817
0.000 -2.602 7.817
Ce Pu Bi
1 1 2
direct
0.000 0.000 0.000
0.830 0.830 0.830
0.246 0.246 0.246
0.417 0.417 0.417
```

***

11.
The following is a DFT calculation (PBE) of a geometry-optimized CePu2Bi3 structure.

The value obtained for the formation energy is -0.483 eV/atom. Its space group is Immm, No. 71. The spin magnetization comes out at 10.0 μB/f.u.

POSCAR file:
```
CePu2Bi3
1.0
-2.285 3.229 6.844
2.285 -3.229 6.844
2.285 3.229 -6.844
Ce Pu Bi
1 2 3
direct
0.000 0.000 0.000
0.334 0.334 0.000
0.666 0.666 0.000
0.167 0.667 0.500
0.500 0.000 0.500
0.833 0.333 0.500
```

***

12.
The following is a DFT calculation (PBE) of a geometry-optimized Ce3Pu2Bi2 structure.

The value obtained for the formation energy is -0.132 eV/atom. Its space group is I2_13, No. 199. The spin magnetization comes out at 16.1 μB/f.u.

POSCAR file:
```
Ce3Pu2Bi2
1.0
-4.801 4.801 4.801
4.801 -4.801 4.801
4.801 4.801 -4.801
Ce Pu Bi
6 4 4
direct
0.185 0.935 0.250
0.250 0.185 0.935
0.315 0.565 0.750
0.565 0.750 0.315
0.750 0.315 0.565
0.935 0.250 0.185
0.000 0.690 0.500
0.500 0.000 0.690
0.690 0.500 0.000
0.810 0.810 0.810
0.000 0.091 0.500
0.091 0.500 0.000
0.409 0.409 0.409
0.500 0.000 0.091
```